[1]
ErTa3N6: optimized geometry, GGA-PBE.

* final energy: -203.30 eV/cell
* space-group type: No. 11
* formation energy (no corrections): -1.158 eV per atom

a b c (Å): 3.131 8.916 8.661
angles (deg): 107.87 90.00 90.00
Sites, in units of the cell vectors:
Er (0.250, 0.304, 0.938)
Er (0.750, 0.696, 0.062)
Ta (0.250, 0.175, 0.540)
Ta (0.750, 0.825, 0.460)
Ta (0.250, 0.488, 0.315)
Ta (0.750, 0.512, 0.685)
Ta (0.250, 0.912, 0.838)
Ta (0.750, 0.088, 0.162)
N (0.250, 0.394, 0.522)
N (0.750, 0.606, 0.478)
N (0.250, 0.913, 0.081)
N (0.750, 0.087, 0.919)
N (0.250, 0.947, 0.608)
N (0.750, 0.053, 0.392)
N (0.250, 0.738, 0.291)
N (0.750, 0.262, 0.709)
N (0.250, 0.539, 0.859)
N (0.750, 0.461, 0.141)
N (0.250, 0.240, 0.213)
N (0.750, 0.760, 0.787)

***

[2]
ErTa2N4: optimized geometry, GGA-PBE.

* final energy: -142.17 eV/cell
* space-group type: No. 63
* formation energy (no corrections): -1.359 eV per atom

a b c (Å): 3.115 5.329 10.348
angles (deg): 90.00 90.00 106.99
Sites, in units of the cell vectors:
Er (0.617, 0.234, 0.750)
Er (0.383, 0.766, 0.250)
Ta (0.129, 0.258, 0.431)
Ta (0.871, 0.742, 0.931)
Ta (0.129, 0.258, 0.069)
Ta (0.871, 0.742, 0.569)
N (0.769, 0.538, 0.114)
N (0.769, 0.538, 0.386)
N (0.231, 0.462, 0.886)
N (0.231, 0.462, 0.614)
N (0.946, 0.893, 0.750)
N (0.054, 0.107, 0.250)
N (0.500, 0.000, 0.000)
N (0.500, 0.000, 0.500)

***

[3]
ErTaN2: optimized geometry, GGA-PBE.

* final energy: -38.59 eV/cell
* space-group type: No. 160
* formation energy (no corrections): -1.381 eV per atom

a b c (Å): 3.154 3.154 5.950
angles (deg): 74.63 74.63 60.00
Sites, in units of the cell vectors:
Er (0.672, 0.672, 0.983)
Ta (0.497, 0.497, 0.510)
N (0.088, 0.088, 0.736)
N (0.243, 0.243, 0.271)